1.
Below is crystalline MgSc4Tl5 at its relaxed geometry, with properties calculated at the PBE-GGA level.

a b c (Å): 3.5926 3.5926 18.2389
angles (deg): 90.00 90.00 90.00
With the nearest neighbours (Å) after each atom.
Space group P4/mmm (No. 123)
One atom of each set of equivalent atoms:
1 Mg 0.0000 0.0000 0.0000 (multiplicity 1)  8 Tl 3.11
2 Sc 0.0000 0.0000 0.1980 (multiplicity 2)  8 Tl 3.12-3.16
3 Sc 0.0000 0.0000 0.4005 (multiplicity 2)  8 Tl 3.12
4 Tl 0.5000 0.5000 0.0987 (multiplicity 2)  4 Mg 3.11, 4 Sc 3.12
5 Tl 0.5000 0.5000 0.3008 (multiplicity 2)  8 Sc 3.12-3.16
6 Tl 0.5000 0.5000 0.5000 (multiplicity 1)  8 Sc 3.12

Calculated values
formation enthalpy at 0 K = -199 meV per atom
total DFT energy (no corrections) = -40.7 eV per cell
DOS at the Fermi energy = 0.736 states/eV/atom
crystal system = tetragonal

2.
Below is crystalline KZn2SiSe4 at its relaxed geometry, with properties calculated at the PBE-GGA level.

a b c (Å): 9.5466 9.8412 8.9687
angles (deg): 90.00 90.00 90.00
With the nearest neighbours (Å) after each atom.
Space group Fmm2 (No. 42)
One atom of each set of equivalent atoms:
1 K 0.0000 0.0000 0.0000 (multiplicity 4)  6 Se 3.22-3.59
2 Zn 0.2500 0.2500 0.2553 (multiplicity 8)  4 Se 2.62-2.67
3 Si 0.0000 0.0000 0.4912 (multiplicity 4)  4 Se 2.31-2.32
4 Se 0.0000 0.1925 0.6381 (multiplicity 8)  1 Si 2.31
5 Se 0.1978 0.0000 0.3401 (multiplicity 8)  1 Si 2.32

Calculated values
ΔE_f (raw) = -556 meV per atom
total DFT energy (no corrections) = -109.8 eV per cell
DOS at the Fermi energy = 0.279 states/eV/atom
crystal system = orthorhombic

3.
Below is crystalline GeAu2Br6 at its relaxed geometry, with properties calculated at the PBE-GGA level.

a b c (Å): 12.7382 20.9210 6.0567
angles (deg): 90.00 95.98 90.00
With the nearest neighbours (Å) after each atom.
Space group C2/c (No. 15)
One atom of each set of equivalent atoms:
1 Ge 0.0000 0.1507 0.2500 (multiplicity 4)  4 Br 2.31
2 Au 0.1230 0.5001 0.2754 (multiplicity 8)  2 Br 2.47
3 Br 0.1020 0.2152 0.0482 (multiplicity 8)  1 Ge 2.31
4 Br 0.1094 0.0872 0.4851 (multiplicity 8)  1 Ge 2.31
5 Br 0.1321 0.4066 0.0277 (multiplicity 8)  2 Au 2.47

Calculated values
ΔE_f (raw) = -377 meV per atom
total DFT energy (no corrections) = -98.4 eV per cell
crystal system = monoclinic

4.
Below is crystalline ReAgHg4 at its relaxed geometry, with properties calculated at the PBE-GGA level.

a b c (Å): 8.0652 8.0652 8.0652
angles (deg): 90.00 90.00 90.00
With the nearest neighbours (Å) after each atom.
Space group F-43m (No. 216)
One atom of each set of equivalent atoms:
1 Re 0.0000 0.0000 0.0000 (multiplicity 4)  12 Hg 3.34, 4 Ag 3.49
2 Ag 0.2500 0.2500 0.7500 (multiplicity 4)  12 Hg 3.34, 4 Re 3.49
3 Hg 0.1252 0.1252 0.3748 (multiplicity 16)  6 Hg 2.85-2.86

Calculated values
formation enthalpy at 0 K = 1035 meV per atom
total DFT energy (no corrections) = -41.2 eV per cell
DOS at the Fermi energy = 0.585 states/eV/atom
crystal system = cubic